Entry from Alexandria via LeMat-Bulk: a PBEsol-optimized structure of MnMoRh2 (SCAN).

Results
Its formation energy is -1 meV per atom. The density of states at the Fermi level is 5.1 states/eV/cell. The value obtained for the magnetic moment is 2.60 Bohr magnetons per cell. The excess energy over the best structure of this formula in the dataset is 1.11 eV per formula unit.

Cell: 3.1245 3.1245 5.5498 Å, 90.00 90.00 90.00°
With the nearest neighbours (Å) after each atom.
Sites, in units of the cell vectors:
Mn  0.0000  0.0000  0.0000  5 Rh 2.48-2.72, 4 Mo 2.62
Mo  0.5000  0.5000  0.2553  5 Rh 2.54-2.62, 4 Mn 2.62
Rh  0.0000  0.0000  0.5095  4 Mo 2.62, 2 Mn 2.72-2.83, 4 Rh 2.73
Rh  0.5000  0.5000  0.7970  4 Mn 2.48, 1 Mo 2.54, 4 Rh 2.73

***

Entry from Alexandria via LeMat-Bulk: a PBEsol-optimized structure of Sr2Au (SCAN).

Results
Its formation energy is -677 meV per atom. The density of states at the Fermi level is 4.1 states/eV/cell. The value obtained for the magnetic moment is 0.00 Bohr magnetons per cell.

Cell: 7.2523 7.2523 7.4435 Å, 90.00 90.00 147.07°
With the nearest neighbours (Å) after each atom.
Sites, in units of the cell vectors:
Sr  0.0134  0.9866  0.5000  4 Au 3.17-3.25
Sr  0.2765  0.7235  0.3240  3 Au 3.15-3.32
Sr  0.7235  0.2765  0.8240  3 Au 3.15-3.32
Sr  0.9866  0.0134  0.0000  4 Au 3.17-3.25
Au  0.3861  0.6139  0.7197  7 Sr 3.15-3.32
Au  0.6139  0.3861  0.2197  7 Sr 3.15-3.32

***

Entry from Alexandria via LeMat-Bulk: a PBEsol-optimized structure of ZnWO4 (SCAN).

Results
The density of states at the Fermi level is 0.0 states/eV/cell. The value obtained for the raw formation energy is -2.027 eV per atom. The value obtained for the magnetic moment is 0.00 Bohr magnetons per cell. The excess energy over the best structure of this formula in the dataset is 0.33 eV per formula unit.

Cell: 7.2883 7.2883 4.7813 Å, 107.09 107.09 127.65°
With the nearest neighbours (Å) after each atom.
Sites, in units of the cell vectors:
Zn  0.1136  0.8864  0.7500  4 O 1.94-1.99
Zn  0.8864  0.1136  0.2500  4 O 1.94-1.99
W  0.4146  0.5854  0.2500  4 O 1.79-1.91
W  0.5854  0.4146  0.7500  4 O 1.79-1.91
O  0.0935  0.4305  0.2130  1 W 1.79, 1 Zn 1.94
O  0.2358  0.3224  0.7406  1 W 1.91, 1 Zn 1.99
O  0.3224  0.2358  0.2406  1 W 1.91, 1 Zn 1.99
O  0.4305  0.0935  0.7130  1 W 1.79, 1 Zn 1.94
O  0.5695  0.9065  0.2870  1 W 1.79, 1 Zn 1.94
O  0.6776  0.7642  0.7594  1 W 1.91, 1 Zn 1.99
O  0.7642  0.6776  0.2594  1 W 1.91, 1 Zn 1.99
O  0.9065  0.5695  0.7870  1 W 1.79, 1 Zn 1.94

***

Entry from Alexandria via LeMat-Bulk: a PBEsol-optimized structure of Y4Mg5 (SCAN).

Results
Its formation energy is -64 meV per atom. The density of states at the Fermi level is 6.6 states/eV/cell. The value obtained for the magnetic moment is 0.96 Bohr magnetons per cell. The excess energy over the best structure of this formula in the dataset is 0.00 eV per formula unit.

Cell: 7.3806 7.3806 7.3806 Å, 96.50 96.50 140.68°
With the nearest neighbours (Å) after each atom.
Sites, in units of the cell vectors:
Y  0.0000  0.3252  0.3252  7 Mg 3.20-3.36, 5 Y 3.44-3.47
Y  0.0000  0.6748  0.6748  7 Mg 3.20-3.36, 5 Y 3.44-3.47
Y  0.3252  0.0000  0.3252  7 Mg 3.20-3.36, 5 Y 3.44-3.47
Y  0.6748  0.0000  0.6748  7 Mg 3.20-3.36, 5 Y 3.44-3.47
Mg  0.0000  0.0000  0.0000  4 Y 3.20, 8 Mg 3.35
Mg  0.3382  0.3382  0.6764  6 Mg 3.18-3.49, 6 Y 3.33-3.36
Mg  0.3382  0.6618  0.0000  6 Mg 3.18-3.49, 6 Y 3.33-3.36
Mg  0.6618  0.3382  0.0000  6 Mg 3.18-3.49, 6 Y 3.33-3.36
Mg  0.6618  0.6618  0.3236  6 Mg 3.18-3.49, 6 Y 3.33-3.36

***

Entry from Alexandria via LeMat-Bulk: a PBEsol-optimized structure of InAgPH2 (SCAN).

Results
The density of states at the Fermi level is 1.1 states/eV/cell. For the final energy, the calculation gives -15.9463 eV/atom. The value obtained for the magnetic moment is 0.37 Bohr magnetons per cell.

Cell: 3.6063 3.6063 6.0290 Å, 90.00 90.00 90.00°
With the nearest neighbours (Å) after each atom.
Sites, in units of the cell vectors:
In  0.0000  0.0000  0.0000  4 P 2.55
Ag  0.0000  0.0000  0.5000  4 H 1.80
P  0.5000  0.5000  0.0000  4 In 2.55
H  0.0000  0.5000  0.5000  2 Ag 1.80
H  0.5000  0.0000  0.5000  2 Ag 1.80

***

Entry from Alexandria via LeMat-Bulk: a PBEsol-optimized structure of OsSe (SCAN).

Results
The density of states at the Fermi level is 3.0 states/eV/cell. The value obtained for the raw formation energy is 1.281 eV per atom. The value obtained for the magnetic moment is 0.00 Bohr magnetons per cell.

Cell: 4.4609 4.4609 4.4609 Å, 60.00 60.00 60.00°
With the nearest neighbours (Å) after each atom.
Sites, in units of the cell vectors:
Os  0.1250  0.1250  0.1250  4 Se 2.73, 4 Os 2.73
Os  0.8750  0.8750  0.8750  4 Se 2.73, 4 Os 2.73
Se  0.3750  0.3750  0.3750  4 Se 2.73, 4 Os 2.73
Se  0.6250  0.6250  0.6250  4 Os 2.73, 4 Se 2.73